(1)
Dy3Er2Tc2: optimized geometry, PBE.

Its density of states at the Fermi level is 0.7227 states/eV per atom. As for the formation energy: -0.534 eV/f.u. Its space-group type is C2/m. The value obtained for the total magnetization is 0.0 μB/cell.

Cell: 3.793 6.396 8.381 Å, 111.94 90.00 107.25°
Element x y z (fractional)
Dy  0.625  0.249  0.434
Dy  0.375  0.751  0.566
Er  0.837  0.675  0.180
Dy  0.500  0.000  0.000
Er  0.163  0.325  0.820
Tc  0.180  0.360  0.214
Tc  0.820  0.640  0.786



(2)
DyEr2Tc: optimized geometry, PBE.

Its density of states at the Fermi level is 1.5219 states/eV per atom. As for the formation energy: 1.013 eV/f.u. Its space-group type is R-3m. As for the energy above the most stable polymorph in this dataset: 379.1 meV per atom. The value obtained for the total magnetization is 0.0 μB/cell.

Cell: 3.393 3.393 11.054 Å, 81.17 81.17 60.00°
Element x y z (fractional)
Er  0.895  0.895  0.315
Dy  0.000  0.000  0.000
Tc  0.500  0.500  0.500
Er  0.105  0.105  0.685



(3)
DyEr2Tc: optimized geometry, PBE.

Its density of states at the Fermi level is 1.5446 states/eV per atom. As for the formation energy: -0.014 eV/f.u. Its space-group type is P4/mmm. As for the energy above the most stable polymorph in this dataset: 122.2 meV per atom. The value obtained for the total magnetization is 0.0 μB/cell.

Cell: 3.433 3.433 8.799 Å, 90.00 90.00 90.00°
Element x y z (fractional)
Tc  0.500  0.500  0.000
Er  0.000  0.000  0.185
Dy  0.500  0.500  0.500
Er  0.000  0.000  0.815